(1)
First-principles (GGA-PBE) data for an optimized crystal structure of Zn2TeBr, as listed in Alexandria.

The structure in POSCAR format:
```
Zn2TeBr
1.0
3.342 0.000 0.000
0.000 5.064 0.000
0.000 0.000 5.759
Zn Te Br
2 1 1
direct
0.000 0.000 0.000 Zn
0.500 0.500 0.000 Zn
0.000 0.500 0.500 Te
0.500 0.000 0.500 Br
```

Results
Crystal system: orthorhombic
Energy: -6.22 eV/cell
Energy relative to the lowest polymorph listed for this composition: 54.00 kJ/mol of atoms


(2)
First-principles (GGA-PBE) data for an optimized crystal structure of PmTm2Zn, as listed in Alexandria.

The structure in POSCAR format:
```
PmTm2Zn
1.0
3.537 0.000 0.000
0.000 3.537 0.000
0.000 0.000 8.679
Pm Tm Zn
1 2 1
direct
0.000 0.000 0.000 Pm
0.500 0.500 0.299 Tm
0.500 0.500 0.701 Tm
0.000 0.000 0.500 Zn
```

Results
Crystal system: tetragonal
Energy: -15.64 eV/cell
ΔH_f (0 K): -0.17 eV per atom
Energy relative to the lowest polymorph listed for this composition: 0.00 kJ/mol of atoms


(3)
First-principles (GGA-PBE) data for an optimized crystal structure of CsLaO2, as listed in Alexandria.

The structure in POSCAR format:
```
CsLaO2
1.0
-3.302 3.302 4.975
3.302 -3.302 4.975
3.302 3.302 -4.975
Cs La O
2 2 4
direct
0.000 0.000 0.000 Cs
0.750 0.250 0.500 Cs
0.250 0.750 0.500 La
0.500 0.500 0.000 La
0.226 0.625 0.101 O
0.375 0.476 0.601 O
0.524 0.125 0.899 O
0.875 0.774 0.399 O
```

Results
Crystal system: tetragonal
Energy: -51.66 eV/cell